Au2C | PBEsol | optimized geometry

Unit cell a=3.706 b=3.706 c=7.454 alpha=90.00 beta=90.00 gamma=120.00
Fractional positions:
Au (0.000, 0.000, 0.000)
Au (0.333, 0.667, 0.250)
Au (0.000, 0.000, 0.500)
Au (0.667, 0.333, 0.750)
C (0.333, 0.667, 0.750)
C (0.667, 0.333, 0.250)

Summary:
* energy above the most stable polymorph in this dataset: 29.0 kJ/mol of atoms
* energy of formation from the pure elements: 1566 meV/atom
* SG: No. 194